[1]
4
Lattice="3.515 0.000 0.000 0.000 3.515 0.000 0.000 0.000 6.273" Properties=species:S:1:pos:R:3 comment="MgTlAg2 (meta-GGA SCAN, PBEsol geometry)" formation_energy_ev_per_atom=-0.063 m_tot_mub_per_cell=0.0 dos_ef_per_ev_fu=1.1 pbc="T T T"
Mg 0.000 0.000 0.000
Tl 0.000 0.000 3.136
Ag 1.757 1.757 1.431
Ag 1.757 1.757 4.842

[2]
16
Lattice="4.070 0.000 0.000 0.000 10.429 0.000 0.000 0.000 8.395" Properties=species:S:1:pos:R:3 comment="TmMg2Ag (meta-GGA SCAN, PBEsol geometry)" formation_energy_ev_per_atom=-0.252 m_tot_mub_per_cell=0.0 dos_ef_per_ev_fu=2.4 pbc="T T T"
Tm 0.000 0.599 2.099
Tm 0.000 9.830 6.296
Tm 2.035 4.615 6.296
Tm 2.035 5.814 2.099
Mg 0.000 3.730 0.427
Mg 0.000 3.730 3.771
Mg 0.000 6.699 4.624
Mg 0.000 6.699 7.968
Mg 2.035 1.484 4.624
Mg 2.035 1.484 7.968
Mg 2.035 8.945 0.427
Mg 2.035 8.945 3.771
Ag 0.000 2.443 6.296
Ag 0.000 7.986 2.099
Ag 2.035 2.771 2.099
Ag 2.035 7.657 6.296

[3]
9
Lattice="7.558 0.000 0.000 -3.779 6.545 0.000 0.000 0.000 3.999" Properties=species:S:1:pos:R:3 comment="TmMgAg (meta-GGA SCAN, PBEsol geometry)" formation_energy_ev_per_atom=-0.337 m_tot_mub_per_cell=0.0 dos_ef_per_ev_fu=2.2 pbc="T T T"
Tm -1.560 2.702 0.000
Tm 3.120 0.000 0.000
Tm 2.219 3.844 0.000
Mg -2.839 4.918 2.000
Mg 0.940 1.627 2.000
Mg 5.679 0.000 2.000
Ag 0.000 0.000 0.000
Ag 0.000 4.364 2.000
Ag 3.779 2.182 2.000

[4]
16
Lattice="6.518 0.000 0.000 0.000 6.518 0.000 0.000 0.000 6.518" Properties=species:S:1:pos:R:3 comment="Mg2AgW (meta-GGA SCAN, PBEsol geometry)" formation_energy_ev_per_atom=0.673 m_tot_mub_per_cell=10.1 e_above_lowest_polymorph_mev_per_atom=168 dos_ef_per_ev_fu=1.9 pbc="T T T"
Mg 1.630 1.630 1.630
Mg 1.630 1.630 4.889
Mg 1.630 4.889 1.630
Mg 1.630 4.889 4.889
Mg 4.889 1.630 1.630
Mg 4.889 1.630 4.889
Mg 4.889 4.889 1.630
Mg 4.889 4.889 4.889
Ag 0.000 0.000 0.000
Ag 0.000 3.259 3.259
Ag 3.259 0.000 3.259
Ag 3.259 3.259 0.000
W 0.000 0.000 3.259
W 0.000 3.259 0.000
W 3.259 0.000 0.000
W 3.259 3.259 3.259

[5]
8
Lattice="5.279 0.000 0.000 0.000 9.669 0.000 -0.862 0.000 2.556" Properties=species:S:1:pos:R:3 comment="MgAgW2 (meta-GGA SCAN, PBEsol geometry)" formation_energy_ev_per_atom=0.536 m_tot_mub_per_cell=0.0 dos_ef_per_ev_fu=3.1 pbc="T T T"
Mg 0.000 0.000 0.000
Mg 2.640 4.834 0.000
Ag 0.000 4.834 0.000
Ag 2.640 0.000 0.000
W 0.889 2.417 1.278
W 0.889 7.251 1.278
W 3.528 2.417 1.278
W 3.528 7.251 1.278

[6]
8
Lattice="3.199 0.000 0.000 0.000 4.426 0.000 0.000 0.000 9.240" Properties=species:S:1:pos:R:3 comment="MgAgW2 (meta-GGA SCAN, PBEsol geometry)" formation_energy_ev_per_atom=0.279 m_tot_mub_per_cell=0.0 dos_ef_per_ev_fu=2.2 pbc="T T T"
Mg 0.000 0.000 0.000
Mg 1.599 2.213 0.000
Ag 0.000 2.213 6.932
Ag 1.599 0.000 6.932
W 0.000 0.000 4.576
W 0.000 2.213 2.381
W 1.599 0.000 2.381
W 1.599 2.213 4.576

[7]
8
Lattice="2.828 0.000 0.000 0.000 5.041 0.000 0.000 0.000 9.674" Properties=species:S:1:pos:R:3 comment="Mg2AgW (meta-GGA SCAN, PBEsol geometry)" formation_energy_ev_per_atom=0.505 m_tot_mub_per_cell=0.9 e_above_lowest_polymorph_mev_per_atom=0 dos_ef_per_ev_fu=2.4 pbc="T T T"
Mg 0.000 0.000 2.307
Mg 0.000 0.000 7.367
Mg 1.414 2.521 2.530
Mg 1.414 2.521 7.144
Ag 0.000 2.521 4.837
Ag 1.414 0.000 0.000
W 0.000 2.521 0.000
W 1.414 0.000 4.837

[8]
4
Lattice="2.916 0.000 0.000 0.000 4.758 0.000 0.000 0.000 4.974" Properties=species:S:1:pos:R:3 comment="Mg2AgW (meta-GGA SCAN, PBEsol geometry)" formation_energy_ev_per_atom=0.556 m_tot_mub_per_cell=0.0 e_above_lowest_polymorph_mev_per_atom=51 dos_ef_per_ev_fu=2.8 pbc="T T T"
Mg 0.000 0.000 0.000
Mg 1.458 0.000 2.487
Ag 0.000 2.379 2.487
W 1.458 2.379 0.000

[9]
16
Lattice="7.017 0.000 0.000 0.000 7.017 0.000 0.000 0.000 7.017" Properties=species:S:1:pos:R:3 comment="YMg2Ag (meta-GGA SCAN, PBEsol geometry)" formation_energy_ev_per_atom=-0.241 m_tot_mub_per_cell=0.0 dos_ef_per_ev_fu=2.4 pbc="T T T"
Y 0.000 0.000 0.000
Y 0.000 3.509 3.509
Y 3.509 0.000 3.509
Y 3.509 3.509 0.000
Mg 0.000 0.000 3.509
Mg 0.000 3.509 0.000
Mg 1.754 1.754 5.263
Mg 1.754 5.263 1.754
Mg 3.509 0.000 0.000
Mg 3.509 3.509 3.509
Mg 5.263 1.754 1.754
Mg 5.263 5.263 5.263
Ag 1.754 1.754 1.754
Ag 1.754 5.263 5.263
Ag 5.263 1.754 5.263
Ag 5.263 5.263 1.754

[10]
8
Lattice="4.434 0.000 0.000 0.000 3.393 0.000 0.000 0.000 12.242" Properties=species:S:1:pos:R:3 comment="YMg2Ag (meta-GGA SCAN, PBEsol geometry)" formation_energy_ev_per_atom=-0.158 m_tot_mub_per_cell=0.1 dos_ef_per_ev_fu=2.5 pbc="T T T"
Y 0.000 0.000 0.000
Y 0.000 1.696 6.121
Mg 0.000 0.000 8.996
Mg 0.000 1.696 2.874
Mg 2.217 0.000 4.146
Mg 2.217 1.696 10.267
Ag 2.217 0.000 7.350
Ag 2.217 1.696 1.229

[11]
4
Lattice="4.286 0.000 0.000 0.000 4.286 0.000 0.000 0.000 4.897" Properties=species:S:1:pos:R:3 comment="YMg2Ag (meta-GGA SCAN, PBEsol geometry)" formation_energy_ev_per_atom=-0.169 m_tot_mub_per_cell=0.0 dos_ef_per_ev_fu=2.3 pbc="T T T"
Y 0.000 0.000 0.000
Mg 0.000 2.143 2.448
Mg 2.143 0.000 2.448
Ag 2.143 2.143 0.000

[12]
8
Lattice="4.814 0.000 0.000 0.000 3.479 0.000 0.000 0.000 11.874" Properties=species:S:1:pos:R:3 comment="Y2MgAg (meta-GGA SCAN, PBEsol geometry)" formation_energy_ev_per_atom=-0.166 m_tot_mub_per_cell=0.4 dos_ef_per_ev_fu=4.4 pbc="T T T"
Y 0.000 0.000 0.000
Y 0.000 1.739 5.937
Y 2.407 0.000 3.818
Y 2.407 1.739 9.755
Mg 2.407 0.000 7.068
Mg 2.407 1.739 1.131
Ag 0.000 0.000 8.664
Ag 0.000 1.739 2.727

Please write out number 3 again, unchanged.
9
Lattice="7.558 0.000 0.000 -3.779 6.545 0.000 0.000 0.000 3.999" Properties=species:S:1:pos:R:3 comment="TmMgAg (meta-GGA SCAN, PBEsol geometry)" formation_energy_ev_per_atom=-0.337 m_tot_mub_per_cell=0.0 dos_ef_per_ev_fu=2.2 pbc="T T T"
Tm -1.560 2.702 0.000
Tm 3.120 0.000 0.000
Tm 2.219 3.844 0.000
Mg -2.839 4.918 2.000
Mg 0.940 1.627 2.000
Mg 5.679 0.000 2.000
Ag 0.000 0.000 0.000
Ag 0.000 4.364 2.000
Ag 3.779 2.182 2.000